1.
First-principles (GGA-PBE) data for a geometry-optimized CoNiIr2 structure, as listed in Alexandria.

abc: 2.6984 4.5545 8.7120
angles: 90.00 90.00 90.00
Atoms (fractional coordinates):
Co 0.0000 0.0000 0.0000
Co 0.5000 0.5000 0.0000
Ni 0.0000 0.0000 0.5000
Ni 0.5000 0.5000 0.5000
Ir 0.0000 0.5000 0.2492
Ir 0.0000 0.5000 0.7508
Ir 0.5000 0.0000 0.2492
Ir 0.5000 0.0000 0.7508

## Properties
* ΔE_f: 0.24 eV/atom
* volume: 107.1 Å³ per cell
* symmetry: Cmmm (65)
* excess energy over the best structure of this formula in the dataset: 22.62 kJ/mol of atoms



2.
First-principles (GGA-PBE) data for a geometry-optimized Ca3Nd2TmSe6 structure, as listed in Alexandria.

abc: 7.1979 7.1979 7.3049
angles: 99.50 99.50 119.91
Atoms (fractional coordinates):
Ca 0.0000 0.0000 0.0000
Ca 0.3303 0.6697 0.0000
Ca 0.6697 0.3303 0.0000
Nd 0.1657 0.8343 0.5000
Nd 0.8343 0.1657 0.5000
Tm 0.5000 0.5000 0.5000
Se 0.0947 0.4168 0.2493
Se 0.2629 0.2629 0.7517
Se 0.4168 0.0947 0.2493
Se 0.5832 0.9053 0.7507
Se 0.7371 0.7371 0.2483
Se 0.9053 0.5832 0.7507

## Properties
* volume: 309.7 Å³ per cell
* symmetry: C2/m (12)
* raw formation energy: -1879.8 meV per atom



3.
First-principles (GGA-PBE) data for a geometry-optimized MoWAu2 structure, as listed in Alexandria.

abc: 3.2829 4.4629 9.2832
angles: 90.00 90.00 90.00
Atoms (fractional coordinates):
Mo 0.0000 0.0000 0.0000
Mo 0.5000 0.5000 0.0000
W 0.0000 0.5000 0.2309
W 0.5000 0.0000 0.2309
Au 0.0000 0.0000 0.4818
Au 0.0000 0.5000 0.7478
Au 0.5000 0.0000 0.7478
Au 0.5000 0.5000 0.4818

## Properties
* ΔE_f: 0.20 eV/atom
* volume: 136.0 Å³ per cell
* symmetry: Cmm2 (35)
* excess energy over the best structure of this formula in the dataset: 0.00 kJ/mol of atoms



4.
First-principles (GGA-PBE) data for a geometry-optimized Sn3TeS structure, as listed in Alexandria.

abc: 5.8561 5.8561 5.8561
angles: 90.00 90.00 90.00
Atoms (fractional coordinates):
Sn 0.0000 0.0000 0.5000
Sn 0.0000 0.5000 0.0000
Sn 0.5000 0.0000 0.0000
Te 0.0000 0.0000 0.0000
S 0.5000 0.5000 0.5000

## Properties
* volume: 200.8 Å³ per cell
* symmetry: Pm-3m (221)
* raw formation energy: 812.4 meV per atom



5.
First-principles (GGA-PBE) data for a geometry-optimized Li3NiSb structure, as listed in Alexandria.

abc: 4.4686 4.4686 4.4686
angles: 90.00 90.00 90.00
Atoms (fractional coordinates):
Li 0.0000 0.0000 0.5000
Li 0.0000 0.5000 0.0000
Li 0.5000 0.0000 0.0000
Ni 0.0000 0.0000 0.0000
Sb 0.5000 0.5000 0.5000

## Properties
* volume: 89.2 Å³ per cell
* symmetry: Pm-3m (221)
* excess energy over the best structure of this formula in the dataset: 0.00 kJ/mol of atoms
* raw formation energy: 150.3 meV per atom



6.
First-principles (GGA-PBE) data for a geometry-optimized Pr6Si2AuBr3 structure, as listed in Alexandria.

abc: 9.8330 9.8330 8.9553
angles: 103.76 103.76 25.16
Atoms (fractional coordinates):
Pr 0.0094 0.0094 0.2364
Pr 0.3252 0.3252 0.4355
Pr 0.3359 0.3359 0.8908
Pr 0.6641 0.6641 0.1092
Pr 0.6748 0.6748 0.5645
Pr 0.9906 0.9906 0.7636
Si 0.1670 0.1670 0.3352
Si 0.8330 0.8330 0.6648
Au 0.5000 0.5000 0.0000
Br 0.1675 0.1675 0.8319
Br 0.5000 0.5000 0.5000
Br 0.8325 0.8325 0.1681

## Properties
* volume: 357.0 Å³ per cell
* symmetry: C2/m (12)
* raw formation energy: -1032.3 meV per atom



7.
First-principles (GGA-PBE) data for a geometry-optimized Y2ZrAgH structure, as listed in Alexandria.

abc: 4.9482 4.9482 4.2086
angles: 90.00 90.00 90.00
Atoms (fractional coordinates):
Y 0.0000 0.5000 0.0000
Y 0.5000 0.0000 0.0000
Zr 0.0000 0.0000 0.5000
Ag 0.5000 0.5000 0.5000
H 0.0000 0.0000 0.0000

## Properties
* total DFT energy (no corrections): -28.25 eV for the cell shown
* volume: 103.0 Å³ per cell
* symmetry: P4/mmm (123)



8.
First-principles (GGA-PBE) data for a geometry-optimized ZrSc4Cd5 structure, as listed in Alexandria.

abc: 3.5273 3.5273 17.7261
angles: 90.00 90.00 90.00
Atoms (fractional coordinates):
Zr 0.0000 0.0000 0.0000
Sc 0.0000 0.0000 0.1991
Sc 0.0000 0.0000 0.3997
Sc 0.0000 0.0000 0.6003
Sc 0.0000 0.0000 0.8009
Cd 0.5000 0.5000 0.1015
Cd 0.5000 0.5000 0.2988
Cd 0.5000 0.5000 0.5000
Cd 0.5000 0.5000 0.7012
Cd 0.5000 0.5000 0.8985

## Properties
* ΔE_f: -0.24 eV/atom
* volume: 220.5 Å³ per cell
* symmetry: P4/mmm (123)



9.
First-principles (GGA-PBE) data for a geometry-optimized NaSb2Br6 structure, as listed in Alexandria.

abc: 8.7887 8.7887 11.8933
angles: 110.90 110.90 86.99
Atoms (fractional coordinates):
Na 0.1044 0.8956 0.7500
Na 0.8956 0.1044 0.2500
Sb 0.3168 0.3936 0.8008
Sb 0.3936 0.3168 0.3008
Sb 0.6064 0.6832 0.6992
Sb 0.6832 0.6064 0.1992
Br 0.0549 0.1794 0.6716
Br 0.1346 0.6295 0.8526
Br 0.1794 0.0549 0.1716
Br 0.3487 0.3879 0.5545
Br 0.3705 0.8654 0.6474
Br 0.3879 0.3487 0.0545
Br 0.6121 0.6513 0.9455
Br 0.6295 0.1346 0.3526
Br 0.6513 0.6121 0.4455
Br 0.8206 0.9451 0.8284
Br 0.8654 0.3705 0.1474
Br 0.9451 0.8206 0.3284

## Properties
* volume: 798.8 Å³ per cell
* symmetry: C2/c (15)
* excess energy over the best structure of this formula in the dataset: 0.00 kJ/mol of atoms
* raw formation energy: -674.7 meV per atom



10.
First-principles (GGA-PBE) data for a geometry-optimized FeSi3Cl structure, as listed in Alexandria.

abc: 4.3744 4.3744 4.3744
angles: 90.00 90.00 90.00
Atoms (fractional coordinates):
Fe 0.0000 0.0000 0.0000
Si 0.0000 0.0000 0.5000
Si 0.0000 0.5000 0.0000
Si 0.5000 0.0000 0.0000
Cl 0.5000 0.5000 0.5000

## Properties
* volume: 83.7 Å³ per cell
* symmetry: Pm-3m (221)
* excess energy over the best structure of this formula in the dataset: 0.00 kJ/mol of atoms
* raw formation energy: 9.1 meV per atom



11.
First-principles (GGA-PBE) data for a geometry-optimized HoPaSe4 structure, as listed in Alexandria.

abc: 15.3694 4.1828 7.0900
angles: 90.00 116.74 90.00
Atoms (fractional coordinates):
Ho 0.0000 0.0000 0.0000
Ho 0.5000 0.5000 0.0000
Pa 0.0000 0.5000 0.5000
Pa 0.5000 0.0000 0.5000
Se 0.1098 0.5000 0.2829
Se 0.1115 0.0000 0.7650
Se 0.3885 0.5000 0.2350
Se 0.3902 0.0000 0.7171
Se 0.6098 0.0000 0.2829
Se 0.6115 0.5000 0.7650
Se 0.8885 0.0000 0.2350
Se 0.8902 0.5000 0.7171

## Properties
* volume: 407.0 Å³ per cell
* symmetry: C2/m (12)
* excess energy over the best structure of this formula in the dataset: 0.00 kJ/mol of atoms
* raw formation energy: -1551.8 meV per atom



12.
First-principles (GGA-PBE) data for a geometry-optimized Dy2Cd6Ag structure, as listed in Alexandria.

abc: 8.6171 8.6171 3.2833
angles: 90.07 90.07 60.01
Atoms (fractional coordinates):
Dy 0.1667 0.1667 0.0000
Dy 0.8333 0.8333 0.0000
Cd 0.1725 0.8275 0.5000
Cd 0.1726 0.5000 0.5014
Cd 0.5000 0.1726 0.5014
Cd 0.5000 0.8274 0.4986
Cd 0.8274 0.5000 0.4986
Cd 0.8275 0.1725 0.5000
Ag 0.5000 0.5000 0.0000

## Properties
* ΔE_f: -0.18 eV/atom
* volume: 211.1 Å³ per cell
* symmetry: C2/m (12)



13.
First-principles (GGA-PBE) data for a geometry-optimized Lu2PaBi structure, as listed in Alexandria.

abc: 3.8437 3.8437 7.3184
angles: 90.00 90.00 90.00
Atoms (fractional coordinates):
Lu 0.0000 0.0000 0.2361
Lu 0.0000 0.0000 0.7639
Pa 0.5000 0.5000 0.5000
Bi 0.5000 0.5000 0.0000

## Properties
* ΔE_f: -0.13 eV/atom
* volume: 108.1 Å³ per cell
* symmetry: P4/mmm (123)
* excess energy over the best structure of this formula in the dataset: 0.00 kJ/mol of atoms



In order of appearance, density = 15.57, 5.64, 16.45, 4.26, 3.75, 6.22, 6.09, 6.27, 3.10, 3.48, 5.81, 8.71, 12.13 g/cm³.